The following is a DFT calculation (PBE-GGA) of a relaxed Cd3W2 crystal.

Properties
For the energy of formation from the pure elements, the calculation gives 0.6011 eV/atom. The distance to the lowest polymorph of the same formula is 0 meV per atom. For the total energy, the calculation gives -5.129 eV per atom.

Cell: 12.6413 12.6413 12.6413 Å, 13.28 13.28 13.28°
Closest atoms and distances in Å follow each position.
Sites, in units of the cell vectors:
1 Cd 0.0000 0.0000 0.0000  6 Cd 2.92, 6 W 2.99
2 Cd 0.2028 0.2028 0.2028  9 Cd 2.92-3.20, 3 W 2.97
3 Cd 0.7972 0.7972 0.7972  9 Cd 2.92-3.20, 3 W 2.97
4 W 0.3988 0.3988 0.3988  6 W 2.92, 6 Cd 2.97-2.99
5 W 0.6012 0.6012 0.6012  6 W 2.92, 6 Cd 2.97-2.99

The following is a DFT calculation (PBE-GGA) of a relaxed CdW crystal.

Properties
For the energy of formation from the pure elements, the calculation gives 0.6090 eV/atom. The distance to the lowest polymorph of the same formula is 148 meV per atom. For the total energy, the calculation gives -6.325 eV per atom.

Cell: 5.0157 5.0157 5.4311 Å, 94.77 94.77 32.01°
Closest atoms and distances in Å follow each position.
Sites, in units of the cell vectors:
1 Cd 0.1236 0.1236 0.3878  5 Cd 2.77-2.97, 5 W 2.98-3.07
2 Cd 0.8764 0.8764 0.6122  5 Cd 2.77-2.97, 5 W 2.98-3.07
3 W 0.3760 0.3760 0.0975  5 W 2.70-2.91, 3 Cd 2.98-3.01
4 W 0.6240 0.6240 0.9025  5 W 2.70-2.91, 3 Cd 2.98-3.01

The following is a DFT calculation (PBE-GGA) of a relaxed CdW crystal.

Properties
For the energy of formation from the pure elements, the calculation gives 0.6348 eV/atom. The distance to the lowest polymorph of the same formula is 173 meV per atom. For the total energy, the calculation gives -6.299 eV per atom.

Cell: 9.8245 9.8245 2.7528 Å, 90.00 90.00 120.00°
Closest atoms and distances in Å follow each position.
Sites, in units of the cell vectors:
1 Cd 0.1002 0.3063 0.2500  6 Cd 2.75-2.99, 5 W 3.02-3.04
2 Cd 0.2061 0.8998 0.2500  6 Cd 2.75-2.99, 5 W 3.02-3.04
3 Cd 0.3063 0.2061 0.7500  6 Cd 2.75-2.99, 5 W 3.02-3.04
4 Cd 0.6937 0.7939 0.2500  6 Cd 2.75-2.99, 5 W 3.02-3.04
5 Cd 0.7939 0.1002 0.7500  6 Cd 2.75-2.99, 5 W 3.02-3.04
6 Cd 0.8998 0.6937 0.7500  6 Cd 2.75-2.99, 5 W 3.02-3.04
7 W 0.1530 0.6022 0.7500  6 W 2.69-2.99
8 W 0.3978 0.5508 0.7500  6 W 2.69-2.99
9 W 0.4492 0.8470 0.7500  6 W 2.69-2.99
10 W 0.5508 0.1530 0.2500  6 W 2.69-2.99
11 W 0.6022 0.4492 0.2500  6 W 2.69-2.99
12 W 0.8470 0.3978 0.2500  6 W 2.69-2.99

The following is a DFT calculation (PBE-GGA) of a relaxed CdW crystal.

Properties
For the energy of formation from the pure elements, the calculation gives 0.6637 eV/atom. The distance to the lowest polymorph of the same formula is 202 meV per atom. For the total energy, the calculation gives -6.270 eV per atom.

Cell: 2.7707 2.7707 4.8289 Å, 90.00 90.00 105.19°
Closest atoms and distances in Å follow each position.
Sites, in units of the cell vectors:
1 Cd 0.0000 0.0000 0.0000  4 Cd 2.77, 4 W 2.94
2 W 0.5000 0.5000 0.5000  4 W 2.77, 4 Cd 2.94

The following is a DFT calculation (PBE-GGA) of a relaxed Cd3W2 crystal.

Properties
For the energy of formation from the pure elements, the calculation gives 0.7734 eV/atom. The distance to the lowest polymorph of the same formula is 172 meV per atom. For the total energy, the calculation gives -4.957 eV per atom.

Cell: 4.6811 4.6811 5.7393 Å, 90.00 90.00 120.00°
Closest atoms and distances in Å follow each position.
Sites, in units of the cell vectors:
1 Cd 0.0000 0.0000 0.0000  6 W 2.74
2 Cd 0.3333 0.6667 0.4031  2 W 2.75-2.99, 3 Cd 2.92
3 Cd 0.6667 0.3333 0.5969  2 W 2.75-2.99, 3 Cd 2.92
4 W 0.3333 0.6667 0.9233  5 Cd 2.74-2.99, 3 W 2.84
5 W 0.6667 0.3333 0.0767  5 Cd 2.74-2.99, 3 W 2.84

The following is a DFT calculation (PBE-GGA) of a relaxed Cd4W crystal.

Properties
For the energy of formation from the pure elements, the calculation gives 0.9064 eV/atom. The distance to the lowest polymorph of the same formula is 0 meV per atom. For the total energy, the calculation gives -2.416 eV per atom.

Cell: 8.0548 8.0548 8.0548 Å, 152.60 152.60 39.14°
Closest atoms and distances in Å follow each position.
Sites, in units of the cell vectors:
1 Cd 0.0920 0.0920 0.0000  5 Cd 2.79-3.06, 4 W 3.04
2 Cd 0.2500 0.7500 0.5000  4 Cd 2.70
3 Cd 0.7500 0.2500 0.5000  4 Cd 2.70
4 Cd 0.9080 0.9080 0.0000  5 Cd 2.79-3.06, 4 W 3.04
5 W 0.5000 0.5000 0.0000  8 Cd 3.04

The following is a DFT calculation (PBE-GGA) of a relaxed CdW crystal.

Properties
For the energy of formation from the pure elements, the calculation gives 0.7274 eV/atom. The distance to the lowest polymorph of the same formula is 266 meV per atom. For the total energy, the calculation gives -6.207 eV per atom.

Cell: 5.1357 4.7243 5.8793 Å, 90.00 90.00 90.00°
Closest atoms and distances in Å follow each position.
Sites, in units of the cell vectors:
1 Cd 0.0859 0.2500 0.1227  8 W 2.85-3.02, 4 Cd 2.91-2.97
2 Cd 0.4141 0.7500 0.6227  8 W 2.85-3.02, 4 Cd 2.91-2.97
3 Cd 0.5859 0.2500 0.3773  8 W 2.85-3.02, 4 Cd 2.91-2.97
4 Cd 0.9141 0.7500 0.8773  8 W 2.85-3.02, 4 Cd 2.91-2.97
5 W 0.0675 0.2500 0.6192  4 W 2.83-2.99, 8 Cd 2.85-3.02
6 W 0.4325 0.7500 0.1192  4 W 2.83-2.99, 8 Cd 2.85-3.02
7 W 0.5675 0.2500 0.8808  4 W 2.83-2.99, 8 Cd 2.85-3.02
8 W 0.9325 0.7500 0.3808  4 W 2.83-2.99, 8 Cd 2.85-3.02

The following is a DFT calculation (PBE-GGA) of a relaxed CdW crystal.

Properties
For the energy of formation from the pure elements, the calculation gives 1.6232 eV/atom. The distance to the lowest polymorph of the same formula is 1162 meV per atom. For the total energy, the calculation gives -5.311 eV per atom.

Cell: 7.5436 7.5436 7.5436 Å, 109.47 109.47 109.47°
Closest atoms and distances in Å follow each position.
Sites, in units of the cell vectors:
1 Cd 0.0000 0.0000 0.5799  4 W 2.85-3.02
2 Cd 0.0000 0.5799 0.0000  4 W 2.85-3.02
3 Cd 0.4201 0.4201 0.4201  4 W 2.85-3.02
4 Cd 0.5799 0.0000 0.0000  4 W 2.85-3.02
5 W 0.0000 0.0000 0.2015  3 W 2.48
6 W 0.0000 0.2015 0.0000  3 W 2.48
7 W 0.2015 0.0000 0.0000  3 W 2.48
8 W 0.7985 0.7985 0.7985  3 W 2.48

The following is a DFT calculation (PBE-GGA) of a relaxed YCdW2 crystal.

Properties
For the energy of formation from the pure elements, the calculation gives 0.6104 eV/atom. For the total energy, the calculation gives -7.711 eV per atom.

Cell: 4.9291 4.9291 6.0418 Å, 94.02 94.02 33.35°
Closest atoms and distances in Å follow each position.
Sites, in units of the cell vectors:
1 Y 0.0000 0.0000 0.0000  2 Y 2.83, 3 Cd 2.98-3.14, 1 W 3.00
2 Cd 0.2482 0.2482 0.7234  2 Cd 2.83, 3 Y 2.98-3.14, 5 W 2.98-3.01
3 W 0.5082 0.5082 0.4708  5 W 2.64-2.95
4 W 0.7528 0.7528 0.2845  5 W 2.64-2.95

The following is a DFT calculation (PBE-GGA) of a relaxed YCdW crystal.

Properties
For the energy of formation from the pure elements, the calculation gives 0.5440 eV/atom. The distance to the lowest polymorph of the same formula is 112 meV per atom. For the total energy, the calculation gives -6.233 eV per atom.

Cell: 5.1016 5.1016 2.8402 Å, 90.00 90.00 120.00°
Closest atoms and distances in Å follow each position.
Sites, in units of the cell vectors:
1 Y 0.0000 0.0000 0.0000  2 Y 2.84
2 Cd 0.6667 0.3333 0.5010  2 Cd 2.84, 3 W 2.95
3 W 0.3333 0.6667 0.4992  2 W 2.84, 3 Cd 2.95

The following is a DFT calculation (PBE-GGA) of a relaxed Y3CdW crystal.

Properties
For the energy of formation from the pure elements, the calculation gives 1.3343 eV/atom. The distance to the lowest polymorph of the same formula is 809 meV per atom. For the total energy, the calculation gives -5.318 eV per atom.

Cell: 5.5134 5.5134 5.5134 Å, 90.00 90.00 90.00°
Closest atoms and distances in Å follow each position.
Sites, in units of the cell vectors:
1 Y 0.0000 0.0000 0.5000  2 Cd 2.76
2 Y 0.0000 0.5000 0.0000  2 Cd 2.76
3 Y 0.5000 0.0000 0.0000  2 Cd 2.76
4 Cd 0.0000 0.0000 0.0000  6 Y 2.76
5 W 0.5000 0.5000 0.5000  12 Y 3.90

The following is a DFT calculation (PBE-GGA) of a relaxed YCdW2 crystal.

Properties
For the energy of formation from the pure elements, the calculation gives 0.8250 eV/atom. For the total energy, the calculation gives -7.496 eV per atom.

Cell: 10.4802 10.4802 10.4802 Å, 16.20 16.20 16.20°
Closest atoms and distances in Å follow each position.
Sites, in units of the cell vectors:
1 Y 0.0000 0.0000 0.0000  6 Y 2.95, 6 W 3.20
2 Cd 0.5000 0.5000 0.5000  6 Cd 2.95, 6 W 3.00
3 W 0.2462 0.2462 0.2462  6 W 2.95, 3 Cd 3.00, 3 Y 3.20
4 W 0.7538 0.7538 0.7538  6 W 2.95, 3 Cd 3.00, 3 Y 3.20

The following is a DFT calculation (PBE-GGA) of a relaxed YCdW2 crystal.

Properties
For the energy of formation from the pure elements, the calculation gives 0.7220 eV/atom. For the total energy, the calculation gives -7.599 eV per atom.

Cell: 5.6075 5.6075 2.8089 Å, 90.00 90.00 117.60°
Closest atoms and distances in Å follow each position.
Sites, in units of the cell vectors:
1 Y 0.0000 0.0000 0.0000  2 Y 2.81, 2 Cd 2.90, 8 W 3.14
2 Cd 0.5000 0.5000 0.0000  2 Cd 2.81, 2 Y 2.90, 8 W 3.14
3 W 0.0000 0.5000 0.5000  4 W 2.81-2.90, 4 Cd 3.14, 4 Y 3.14
4 W 0.5000 0.0000 0.5000  4 W 2.81-2.90, 4 Cd 3.14, 4 Y 3.14

The following is a DFT calculation (PBE-GGA) of a relaxed YCdW crystal.

Properties
For the energy of formation from the pure elements, the calculation gives 0.5120 eV/atom. The distance to the lowest polymorph of the same formula is 80 meV per atom. For the total energy, the calculation gives -6.265 eV per atom.

Cell: 5.7869 5.7869 5.7869 Å, 148.95 139.19 52.15°
Closest atoms and distances in Å follow each position.
Sites, in units of the cell vectors:
1 Y 0.0000 0.0000 0.0000  5 W 3.09-3.45, 2 Y 3.10, 5 Cd 3.22
2 Cd 0.6906 0.6906 0.0000  4 W 2.94, 2 Cd 3.10, 5 Y 3.22
3 W 0.3317 0.3317 0.0000  4 Cd 2.94, 4 Y 3.09, 2 W 3.10